Compound: TmMg3Cu
Source: Alexandria
Functional: PBE-GGA
Structure: optimized geometry

Geometry as extended XYZ:
```
5
Lattice="4.878 0.000 0.000 0.000 4.878 0.000 0.000 0.000 4.878" Properties=species:S:1:pos:R:3 pbc="T T T"
Tm 0.000 0.000 0.000
Mg 0.000 2.439 2.439
Mg 2.439 0.000 2.439
Mg 2.439 2.439 0.000
Cu 2.439 2.439 2.439
```

Values from the calculation:
- E_tot (eV per atom) = -2.5729
- formation energy (meV per atom) = 97
- excess energy over the best structure of this formula in the dataset (meV per atom) = 202
- total magnetization (μB/f.u.) = 0.0
- space-group type = Pm-3m